CePrO2 after structural relaxation. Source: Alexandria, functional PBE-GGA.

offset from the most stable computed form	0.169	eV per atom
total magnetization	1.0	μB per cell
space group	R3m

Cell lengths 6.500, 6.500, 6.500 Å; angles 31.37, 31.37, 31.37 degrees
Sites, in units of the cell vectors:
Ce: 0.000 0.000 0.000
Pr: 0.176 0.176 0.176
O: 0.419 0.419 0.419
O: 0.590 0.590 0.590